Material: YCd3Pb
Method: DFT, PBE-GGA
State: relaxed

a b c (Å): 5.762 5.762 5.762
angles (deg): 90.00 90.00 90.00
Sites, in units of the cell vectors:
1 Y 0.000 0.000 0.000
2 Cd 0.000 0.000 0.500
3 Cd 0.000 0.500 0.000
4 Cd 0.500 0.000 0.000
5 Pb 0.500 0.500 0.500

The calculation puts the energy of formation from the pure elements at 660.5 meV per atom. The value obtained for the density of states at the Fermi level is 4.46 states/eV/f.u.